No. 1
Li2CdCl4 | PBE-GGA | optimized geometry

Computed properties:
spin magnetization: 0.00 μB/f.u.
formation energy from raw total energies: -1.274 eV/atom
symmetry: I4/mmm, No. 139
density of states at the Fermi level: 0.00 states/eV/atom
calculated volume: 182 Å³/cell

Unit cell a=7.5315 b=7.5315 c=7.5315 alpha=139.04 beta=139.04 gamma=59.32
Closest atoms and distances in Å follow each position.
Element x y z (fractional)
Li 0.1339 0.1339 0.0000  1 Cl 2.24
Li 0.8661 0.8661 0.0000  1 Cl 2.24
Cd 0.5000 0.5000 0.0000  6 Cl 2.55-2.64
Cl 0.0000 0.5000 0.5000  2 Cd 2.64
Cl 0.3050 0.3050 0.0000  1 Li 2.24
Cl 0.5000 0.0000 0.5000  2 Cd 2.64
Cl 0.6950 0.6950 0.0000  1 Li 2.24


No. 2
Tb3NdSc3 | PBE-GGA | optimized geometry

Computed properties:
spin magnetization: 0.00 μB/f.u.
total DFT energy (no corrections): -5.195 eV/atom
symmetry: R-3, No. 148
density of states at the Fermi level: 1.75 states/eV/atom
calculated volume: 425 Å³/cell

Unit cell a=8.5207 b=8.5207 c=8.5207 alpha=58.78 beta=58.78 gamma=58.78
Closest atoms and distances in Å follow each position.
Element x y z (fractional)
Tb 0.0689 0.5671 0.2221  4 Sc 3.21-3.50, 2 Tb 3.49, 1 Nd 3.55
Tb 0.2221 0.0689 0.5671  4 Sc 3.21-3.50, 2 Tb 3.49, 1 Nd 3.55
Tb 0.4329 0.7779 0.9311  4 Sc 3.21-3.50, 2 Tb 3.49, 1 Nd 3.55
Tb 0.5671 0.2221 0.0689  4 Sc 3.21-3.50, 2 Tb 3.49, 1 Nd 3.55
Tb 0.7779 0.9311 0.4329  4 Sc 3.21-3.50, 2 Tb 3.49, 1 Nd 3.55
Tb 0.9311 0.4329 0.7779  4 Sc 3.21-3.50, 2 Tb 3.49, 1 Nd 3.55
Nd 0.1515 0.1515 0.1515  6 Sc 3.44-3.71, 6 Tb 3.55-3.61
Nd 0.8485 0.8485 0.8485  6 Sc 3.44-3.71, 6 Tb 3.55-3.61
Sc 0.2242 0.6672 0.4374  4 Sc 3.03-3.21, 3 Tb 3.21-3.34
Sc 0.3328 0.5626 0.7758  4 Sc 3.03-3.21, 3 Tb 3.21-3.34
Sc 0.4374 0.2242 0.6672  4 Sc 3.03-3.21, 3 Tb 3.21-3.34
Sc 0.5626 0.7758 0.3328  4 Sc 3.03-3.21, 3 Tb 3.21-3.34
Sc 0.6672 0.4374 0.2242  4 Sc 3.03-3.21, 3 Tb 3.21-3.34
Sc 0.7758 0.3328 0.5626  4 Sc 3.03-3.21, 3 Tb 3.21-3.34